The following is a GGA+U calculation of crystalline Li7Co5O12 at its relaxed geometry, from Alexandria via LeMat-Bulk.

The structure in POSCAR format:
```
Li7Co5O12
1.0
4.945 -0.013 -0.045
-0.763 6.400 -0.014
-0.881 0.665 6.452
Li Co O
7 5 12
Direct
0.498 0.166 0.840 Li
0.261 0.406 0.084 Li
0.736 0.919 0.593 Li
0.252 0.756 0.752 Li
0.252 0.088 0.411 Li
0.747 0.246 0.244 Li
0.751 0.579 0.917 Li
0.004 0.662 0.332 Co
0.997 0.004 0.000 Co
0.995 0.329 0.673 Co
0.504 0.836 0.164 Co
0.497 0.501 0.496 Co
0.385 0.784 0.442 O
0.620 0.552 0.224 O
0.891 0.274 0.962 O
0.100 0.054 0.725 O
0.357 0.102 0.121 O
0.346 0.455 0.758 O
0.647 0.877 0.903 O
0.649 0.234 0.547 O
0.861 0.607 0.617 O
0.872 0.946 0.273 O
0.139 0.390 0.375 O
0.138 0.733 0.047 O
```

## Properties
Volume, Å³ per cell: 204.0
Symmetry: No. 1
Energy relative to the lowest polymorph listed for this composition, kcal/mol of atoms: 0.973